(1)
{"formula": "Pu2Tl3SnTe6", "functional": "PBE", "state": "relaxed", "lattice": [[3.932, -6.794, 0.000], [3.932, 6.794, 0.000], [-2.599, 0.000, 8.015]], "species": ["Pu", "Pu", "Tl", "Tl", "Tl", "Sn", "Te", "Te", "Te", "Te", "Te", "Te"], "frac_coords": [[0.167, 0.833, 0.000], [0.833, 0.167, 0.000], [0.000, 0.000, 0.500], [0.336, 0.664, 0.500], [0.664, 0.336, 0.500], [0.500, 0.500, 0.000], [0.084, 0.428, 0.784], [0.226, 0.226, 0.211], [0.428, 0.084, 0.784], [0.572, 0.916, 0.216], [0.774, 0.774, 0.789], [0.916, 0.572, 0.216]], "crystal_system": "monoclinic", "e_form_raw_ev_per_atom": -0.62}


(2)
{"formula": "InAsSe4", "functional": "PBE", "state": "relaxed", "lattice": [[0.000, 4.092, 4.092], [4.092, 0.000, 4.092], [4.092, 4.092, 0.000]], "species": ["In", "As", "Se", "Se", "Se", "Se"], "frac_coords": [[0.000, 0.000, 0.000], [0.250, 0.250, 0.250], [0.128, 0.624, 0.624], [0.624, 0.128, 0.624], [0.624, 0.624, 0.128], [0.624, 0.624, 0.624]], "crystal_system": "cubic", "e_form_raw_ev_per_atom": 0.56}


(3)
{"formula": "CaB3Sb", "functional": "PBE", "state": "relaxed", "lattice": [[4.534, 0.000, 0.000], [0.000, 4.534, 0.000], [0.000, 0.000, 4.534]], "species": ["Ca", "B", "B", "B", "Sb"], "frac_coords": [[0.000, 0.000, 0.000], [0.000, 0.500, 0.500], [0.500, 0.000, 0.500], [0.500, 0.500, 0.000], [0.500, 0.500, 0.500]], "crystal_system": "cubic", "e_form_raw_ev_per_atom": 1.56}


(4)
{"formula": "Ho5ThC4", "functional": "PBE", "state": "relaxed", "lattice": [[7.954, -1.815, 0.000], [7.954, 1.815, 0.000], [-1.644, 0.000, 7.185]], "species": ["Ho", "Ho", "Ho", "Ho", "Ho", "Th", "C", "C", "C", "C"], "frac_coords": [[0.000, 0.000, 0.000], [0.332, 0.332, 0.643], [0.339, 0.339, 0.191], [0.661, 0.661, 0.809], [0.668, 0.668, 0.357], [0.000, 0.000, 0.500], [0.170, 0.170, 0.588], [0.496, 0.496, 0.238], [0.504, 0.504, 0.762], [0.830, 0.830, 0.412]], "delta_e_f_ev_per_atom": -0.251, "crystal_system": "monoclinic"}


(5)
{"formula": "RePWCl2", "functional": "PBE", "state": "relaxed", "lattice": [[4.730, 0.000, 0.000], [0.000, 4.730, 0.000], [0.000, 0.000, 4.800]], "species": ["Re", "P", "W", "Cl", "Cl"], "frac_coords": [[0.000, 0.000, 0.000], [0.000, 0.000, 0.500], [0.500, 0.500, 0.500], [0.000, 0.500, 0.000], [0.500, 0.000, 0.000]], "crystal_system": "tetragonal", "e_form_raw_ev_per_atom": 1.46}


(6)
{"formula": "FeH2CBr", "functional": "PBE", "state": "relaxed", "lattice": [[3.426, 0.000, 0.000], [0.000, 3.426, 0.000], [0.000, 0.000, 4.178]], "species": ["Fe", "H", "H", "C", "Br"], "frac_coords": [[0.000, 0.000, 0.000], [0.000, 0.500, 0.500], [0.500, 0.000, 0.500], [0.000, 0.000, 0.500], [0.500, 0.500, 0.000]], "e_tot_ev_per_cell": -20.9, "crystal_system": "tetragonal"}


(7)
{"formula": "KLi2Te", "functional": "PBE", "state": "relaxed", "lattice": [[-2.076, 3.004, 5.517], [2.076, -3.004, 5.517], [2.076, 3.004, -5.517]], "species": ["K", "Li", "Li", "Te"], "frac_coords": [[0.000, 0.000, 0.000], [0.337, 0.837, 0.500], [0.663, 0.163, 0.500], [0.500, 0.500, 0.000]], "crystal_system": "orthorhombic", "e_form_raw_ev_per_atom": -0.53}


(8)
{"formula": "Na2BeSbO", "functional": "PBE", "state": "relaxed", "lattice": [[5.476, 0.000, 0.000], [0.000, 5.476, 0.000], [0.000, 0.000, 3.066]], "species": ["Na", "Na", "Be", "Sb", "O"], "frac_coords": [[0.000, 0.500, 0.000], [0.500, 0.000, 0.000], [0.000, 0.000, 0.500], [0.500, 0.500, 0.500], [0.000, 0.000, 0.000]], "crystal_system": "tetragonal", "e_form_raw_ev_per_atom": -0.98}


(9)
{"formula": "K2LiS2", "functional": "PBE", "state": "relaxed", "lattice": [[4.010, 0.000, 0.000], [0.000, 4.010, 0.000], [0.000, 0.000, 14.520]], "species": ["K", "K", "Li", "S", "S"], "frac_coords": [[0.000, 0.000, 0.149], [0.000, 0.000, 0.851], [0.000, 0.000, 0.500], [0.000, 0.000, 0.343], [0.000, 0.000, 0.657]], "crystal_system": "tetragonal", "e_form_raw_ev_per_atom": 0.04}


(10)
{"formula": "Na2HN", "functional": "PBE", "state": "relaxed", "lattice": [[2.884, 0.000, 0.000], [0.000, 4.236, 0.000], [0.000, 0.000, 7.054]], "species": ["Na", "Na", "Na", "Na", "H", "H", "N", "N"], "frac_coords": [[0.250, 0.250, 0.055], [0.250, 0.750, 0.600], [0.750, 0.250, 0.400], [0.750, 0.750, 0.945], [0.250, 0.250, 0.741], [0.750, 0.750, 0.259], [0.250, 0.750, 0.246], [0.750, 0.250, 0.754]], "e_tot_ev_per_cell": -26.7, "crystal_system": "orthorhombic"}


(11)
{"formula": "Ca2TaI", "functional": "PBE", "state": "relaxed", "lattice": [[0.000, 3.920, 3.920], [3.920, 0.000, 3.920], [3.920, 3.920, 0.000]], "species": ["Ca", "Ca", "Ta", "I"], "frac_coords": [[0.250, 0.250, 0.250], [0.750, 0.750, 0.750], [0.000, 0.000, 0.000], [0.500, 0.500, 0.500]], "crystal_system": "cubic", "e_form_raw_ev_per_atom": 0.64}


(12)
{"formula": "AlCd2In", "functional": "PBE", "state": "relaxed", "lattice": [[3.207, 0.000, 0.000], [0.000, 3.207, 0.000], [0.000, 0.000, 8.753]], "species": ["Al", "Cd", "Cd", "In"], "frac_coords": [[0.000, 0.000, 0.000], [0.500, 0.500, 0.230], [0.500, 0.500, 0.770], [0.000, 0.000, 0.500]], "delta_e_f_ev_per_atom": 0.111, "crystal_system": "tetragonal"}


(13)
{"formula": "Ho2ErIO8", "functional": "PBE", "state": "relaxed", "lattice": [[3.509, -3.566, 0.000], [3.509, 3.566, 0.000], [0.000, 0.000, 6.780]], "species": ["Ho", "Ho", "Er", "I", "O", "O", "O", "O", "O", "O", "O", "O"], "frac_coords": [[0.000, 0.000, 0.247], [0.000, 0.000, 0.753], [0.500, 0.500, 0.000], [0.500, 0.500, 0.500], [0.192, 0.192, 0.000], [0.230, 0.230, 0.500], [0.319, 0.681, 0.290], [0.319, 0.681, 0.710], [0.681, 0.319, 0.290], [0.681, 0.319, 0.710], [0.770, 0.770, 0.500], [0.808, 0.808, 0.000]], "crystal_system": "orthorhombic", "e_form_raw_ev_per_atom": -2.37}


(14)
{"formula": "CdNiBr2", "functional": "PBE", "state": "relaxed", "lattice": [[-1.941, 1.941, 6.643], [1.941, -1.941, 6.643], [1.941, 1.941, -6.643]], "species": ["Cd", "Ni", "Br", "Br"], "frac_coords": [[0.000, 0.000, 0.000], [0.250, 0.750, 0.500], [0.500, 0.500, 0.000], [0.750, 0.250, 0.500]], "crystal_system": "tetragonal", "e_form_raw_ev_per_atom": 0.17}


(15)
{"formula": "HoPuGaRh", "functional": "PBE", "state": "relaxed", "lattice": [[0.000, 3.501, 3.501], [3.501, 0.000, 3.501], [3.501, 3.501, 0.000]], "species": ["Ho", "Pu", "Ga", "Rh"], "frac_coords": [[0.000, 0.000, 0.000], [0.500, 0.500, 0.500], [0.250, 0.250, 0.250], [0.750, 0.750, 0.750]], "delta_e_f_ev_per_atom": -0.464, "crystal_system": "cubic"}


(16)
{"formula": "CrHg4Ru", "functional": "PBE", "state": "relaxed", "lattice": [[0.000, 3.978, 3.978], [3.978, 0.000, 3.978], [3.978, 3.978, 0.000]], "species": ["Cr", "Hg", "Hg", "Hg", "Hg", "Ru"], "frac_coords": [[0.000, 0.000, 0.000], [0.126, 0.625, 0.625], [0.625, 0.126, 0.625], [0.625, 0.625, 0.126], [0.625, 0.625, 0.625], [0.250, 0.250, 0.250]], "delta_e_f_ev_per_atom": 0.834, "crystal_system": "cubic"}


(17)
{"formula": "CrRe2Ru", "functional": "PBE", "state": "relaxed", "lattice": [[-1.502, 2.178, 4.315], [1.502, -2.178, 4.315], [1.502, 2.178, -4.315]], "species": ["Cr", "Re", "Re", "Ru"], "frac_coords": [[0.000, 0.000, 0.000], [0.229, 0.729, 0.500], [0.771, 0.271, 0.500], [0.500, 0.500, 0.000]], "delta_e_f_ev_per_atom": 0.190, "crystal_system": "orthorhombic"}


(18)
{"formula": "GeH", "functional": "PBE", "state": "relaxed", "lattice": [[2.323, -3.991, 0.000], [2.323, 3.991, 0.000], [0.000, 0.000, 2.745]], "species": ["Ge", "Ge", "H", "H"], "frac_coords": [[0.167, 0.833, 0.000], [0.833, 0.167, 0.000], [0.417, 0.417, 0.500], [0.583, 0.583, 0.500]], "e_tot_ev_per_cell": -15.0, "crystal_system": "orthorhombic"}


(19)
{"formula": "LaGa8Co4", "functional": "PBE", "state": "relaxed", "lattice": [[-4.324, 4.324, 2.594], [4.324, -4.324, 2.594], [4.324, 4.324, -2.594]], "species": ["La", "Ga", "Ga", "Ga", "Ga", "Ga", "Ga", "Ga", "Ga", "Co", "Co", "Co", "Co"], "frac_coords": [[0.000, 0.000, 0.000], [0.000, 0.344, 0.344], [0.000, 0.656, 0.656], [0.273, 0.500, 0.773], [0.344, 0.000, 0.344], [0.500, 0.273, 0.773], [0.500, 0.727, 0.227], [0.656, 0.000, 0.656], [0.727, 0.500, 0.227], [0.000, 0.000, 0.500], [0.000, 0.500, 0.000], [0.500, 0.000, 0.000], [0.500, 0.500, 0.500]], "delta_e_f_ev_per_atom": -0.329, "crystal_system": "tetragonal"}


(20)
{"formula": "Zn2SCl", "functional": "PBE", "state": "relaxed", "lattice": [[0.000, 3.251, 3.251], [3.251, 0.000, 3.251], [3.251, 3.251, 0.000]], "species": ["Zn", "Zn", "S", "Cl"], "frac_coords": [[0.250, 0.250, 0.250], [0.750, 0.750, 0.750], [0.000, 0.000, 0.000], [0.500, 0.500, 0.500]], "crystal_system": "cubic", "e_form_raw_ev_per_atom": -0.06}


(21)
{"formula": "Na2TlICl4", "functional": "PBE", "state": "relaxed", "lattice": [[5.635, -6.668, 0.000], [5.635, 6.668, 0.000], [-5.515, 0.000, 6.713]], "species": ["Na", "Na", "Na", "Na", "Tl", "Tl", "I", "I", "Cl", "Cl", "Cl", "Cl", "Cl", "Cl", "Cl", "Cl"], "frac_coords": [[0.000, 0.000, 0.000], [0.000, 0.000, 0.500], [0.000, 0.500, 0.000], [0.500, 0.000, 0.500], [0.500, 0.500, 0.000], [0.500, 0.500, 0.500], [0.000, 0.500, 0.500], [0.500, 0.000, 0.000], [0.149, 0.711, 0.417], [0.194, 0.292, 0.027], [0.289, 0.851, 0.083], [0.292, 0.194, 0.527], [0.708, 0.806, 0.473], [0.711, 0.149, 0.917], [0.806, 0.708, 0.973], [0.851, 0.289, 0.583]], "crystal_system": "monoclinic", "e_form_raw_ev_per_atom": -1.13}


(22)
{"formula": "BeSnBi2", "functional": "PBE", "state": "relaxed", "lattice": [[0.000, 3.742, 3.742], [3.742, 0.000, 3.742], [3.742, 3.742, 0.000]], "species": ["Be", "Sn", "Bi", "Bi"], "frac_coords": [[0.000, 0.000, 0.000], [0.500, 0.500, 0.500], [0.250, 0.250, 0.250], [0.750, 0.750, 0.750]], "delta_e_f_ev_per_atom": 0.550, "crystal_system": "cubic"}


(23)
{"formula": "Rb3TbHo2Te6", "functional": "PBE", "state": "relaxed", "lattice": [[3.915, -6.782, 0.000], [3.915, 6.782, 0.000], [-2.610, 0.000, 8.551]], "species": ["Rb", "Rb", "Rb", "Tb", "Ho", "Ho", "Te", "Te", "Te", "Te", "Te", "Te"], "frac_coords": [[0.000, 0.000, 0.000], [0.334, 0.666, 0.000], [0.666, 0.334, 0.000], [0.500, 0.500, 0.500], [0.167, 0.833, 0.500], [0.833, 0.167, 0.500], [0.098, 0.434, 0.301], [0.231, 0.231, 0.699], [0.434, 0.098, 0.301], [0.566, 0.902, 0.699], [0.769, 0.769, 0.301], [0.902, 0.566, 0.699]], "crystal_system": "monoclinic", "e_form_raw_ev_per_atom": -1.38}


(24)
{"formula": "RbLi2NbCl8", "functional": "PBE", "state": "relaxed", "lattice": [[6.335, 0.000, 0.000], [1.689, 6.145, 0.000], [0.299, 0.212, 9.322]], "species": ["Rb", "Li", "Li", "Nb", "Cl", "Cl", "Cl", "Cl", "Cl", "Cl", "Cl", "Cl"], "frac_coords": [[0.000, 0.000, 0.000], [0.499, 0.499, 0.160], [0.501, 0.501, 0.840], [0.000, 0.000, 0.500], [0.216, 0.773, 0.682], [0.226, 0.235, 0.504], [0.234, 0.792, 0.317], [0.326, 0.328, 0.006], [0.674, 0.672, 0.994], [0.766, 0.208, 0.683], [0.774, 0.765, 0.496], [0.784, 0.227, 0.318]], "crystal_system": "triclinic", "e_form_raw_ev_per_atom": -1.49}


(25)
{"formula": "Cd4InHg6", "functional": "PBE", "state": "relaxed", "lattice": [[-3.918, 3.918, 5.195], [3.918, -3.918, 5.195], [3.918, 3.918, -5.195]], "species": ["Cd", "Cd", "Cd", "Cd", "In", "Hg", "Hg", "Hg", "Hg", "Hg", "Hg"], "frac_coords": [[0.252, 0.252, 0.624], [0.372, 0.748, 0.000], [0.628, 0.628, 0.376], [0.748, 0.372, 0.000], [0.000, 0.000, 0.000], [0.000, 0.500, 0.500], [0.126, 0.419, 0.000], [0.419, 0.126, 0.000], [0.500, 0.000, 0.500], [0.581, 0.581, 0.707], [0.874, 0.874, 0.293]], "delta_e_f_ev_per_atom": 0.079, "crystal_system": "tetragonal"}